(1)
A plane-wave DFT calculation with SCAN was carried out for SrTcIr2 at its PBEsol-relaxed geometry.

Cell: 2.8050 4.3641 6.0541 Å, 90.00 101.52 90.00°
With the nearest neighbours (Å) after each atom.
Space group Pm (No. 6)
Asymmetric unit:
1 Sr 0.0000 0.0000 0.0000 x1  2 Sr 2.81, 5 Ir 2.96-3.00
2 Tc 0.7271 0.5000 0.3764 x1  6 Ir 2.59-2.72, 2 Tc 2.81
3 Ir 0.2990 0.0000 0.4967 x1  4 Ir 2.63-2.81, 4 Tc 2.66-2.72
4 Ir 0.3902 0.5000 0.7448 x1  2 Tc 2.59-2.60, 4 Ir 2.63-2.81

Energy above the most stable polymorph in this dataset, eV per atom: 0.225


(2)
A plane-wave DFT calculation with SCAN was carried out for SrTcIr2 at its PBEsol-relaxed geometry.

Cell: 3.5596 4.9530 8.4000 Å, 90.00 90.00 90.00°
With the nearest neighbours (Å) after each atom.
Space group Immm (No. 71)
Asymmetric unit:
1 Sr 0.0000 0.0000 0.0000 x2  8 Ir 3.02-3.04, 4 Tc 3.05
2 Tc 0.0000 0.0000 0.5000 x2  4 Ir 2.48
3 Ir 0.0000 0.5000 0.2064 x4  2 Tc 2.48

Energy above the most stable polymorph in this dataset, eV per atom: 0.528


(3)
A plane-wave DFT calculation with SCAN was carried out for SrTe2Ir at its PBEsol-relaxed geometry.

Cell: 3.8888 3.8888 6.7342 Å, 90.00 90.00 90.00°
With the nearest neighbours (Å) after each atom.
Space group P4mm (No. 99)
Asymmetric unit:
1 Sr 0.0000 0.0000 0.0000 x1  5 Te 3.13-3.14
2 Te 0.0000 0.0000 0.5356 x1  4 Ir 2.81, 1 Sr 3.13
3 Te 0.5000 0.5000 0.2243 x1  1 Ir 2.66
4 Ir 0.5000 0.5000 0.6193 x1  5 Te 2.66-2.81

Energy above the most stable polymorph in this dataset, eV per atom: 0.405
Raw formation energy, eV per atom: -0.35


(4)
A plane-wave DFT calculation with SCAN was carried out for SrTe2Ir at its PBEsol-relaxed geometry.

Cell: 11.2666 3.9576 5.8512 Å, 90.00 118.70 90.00°
With the nearest neighbours (Å) after each atom.
Space group Cm (No. 8)
Asymmetric unit:
1 Sr 0.0000 0.0000 0.0000 x2  3 Ir 3.01-3.29, 1 Te 3.24
2 Te 0.1597 0.0000 0.6639 x2  2 Ir 2.61
3 Te 0.3442 0.0000 0.3235 x2  2 Ir 2.62
4 Ir 0.2319 0.5000 0.9950 x2  4 Te 2.61-2.62

Energy above the most stable polymorph in this dataset, eV per atom: 0.054
Raw formation energy, eV per atom: -0.70


(5)
A plane-wave DFT calculation with SCAN was carried out for SrTe2Ir at its PBEsol-relaxed geometry.

Cell: 3.9125 5.7590 9.7098 Å, 90.00 90.00 90.00°
With the nearest neighbours (Å) after each atom.
Space group Immm (No. 71)
Asymmetric unit:
1 Sr 0.0000 0.0000 0.0000 x2  8 Te 3.36-3.69, 4 Ir 3.48
2 Te 0.0000 0.5000 0.1775 x4  2 Ir 2.61
3 Ir 0.0000 0.0000 0.5000 x2  4 Te 2.61

Energy above the most stable polymorph in this dataset, eV per atom: 0.057
Raw formation energy, eV per atom: -0.69


(6)
A plane-wave DFT calculation with SCAN was carried out for SrTe2Ir at its PBEsol-relaxed geometry.

Cell: 6.3123 8.5336 4.0790 Å, 90.00 90.00 90.00°
With the nearest neighbours (Å) after each atom.
Space group Cmmm (No. 65)
Asymmetric unit:
1 Sr 0.0000 0.0000 0.0000 x2  2 Ir 3.16, 4 Te 3.34
2 Te 0.0000 0.3102 0.5000 x4  2 Ir 2.60
3 Ir 0.0000 0.5000 0.0000 x2  4 Te 2.60

Energy above the most stable polymorph in this dataset, eV per atom: 0.038
Raw formation energy, eV per atom: -0.71


(7)
A plane-wave DFT calculation with SCAN was carried out for SrTe2Ir at its PBEsol-relaxed geometry.

Cell: 4.2596 4.2596 20.0490 Å, 90.00 90.00 120.00°
With the nearest neighbours (Å) after each atom.
Space group R-3m (No. 166, hexagonal axes)
Asymmetric unit:
1 Sr 0.0000 0.0000 0.0000 x3  6 Te 3.26
2 Te 0.0000 0.0000 0.2264 x6  3 Ir 2.74
3 Ir 0.0000 0.0000 0.5000 x3  6 Te 2.74

Energy above the most stable polymorph in this dataset, eV per atom: 0.111
Raw formation energy, eV per atom: -0.64


(8)
A plane-wave DFT calculation with SCAN was carried out for Sr2TeIr at its PBEsol-relaxed geometry.

Cell: 8.3532 8.3532 6.4028 Å, 90.00 90.00 90.00°
With the nearest neighbours (Å) after each atom.
Space group I-42d (No. 122)
Asymmetric unit:
1 Sr 0.2017 0.7500 0.1250 x8  2 Ir 2.80
2 Te 0.0000 0.0000 0.5000 x4  2 Ir 3.20, 4 Sr 3.35
3 Ir 0.0000 0.0000 0.0000 x4  4 Sr 2.80

Raw formation energy, eV per atom: -0.43


(9)
A plane-wave DFT calculation with SCAN was carried out for SrTe2Ir at its PBEsol-relaxed geometry.

Cell: 8.0775 8.0775 6.6215 Å, 90.00 90.00 90.00°
With the nearest neighbours (Å) after each atom.
Space group I-42d (No. 122)
Asymmetric unit:
1 Sr 0.0000 0.0000 0.0000 x4  2 Ir 3.31, 8 Te 3.45-3.48
2 Te 0.1690 0.2500 0.6250 x8  2 Ir 2.57
3 Ir 0.0000 0.0000 0.5000 x4  4 Te 2.57

Energy above the most stable polymorph in this dataset, eV per atom: 0.000
Raw formation energy, eV per atom: -0.75


(10)
A plane-wave DFT calculation with SCAN was carried out for SrZn2TeIr at its PBEsol-relaxed geometry.

Cell: 4.7623 4.7623 5.4188 Å, 90.00 90.00 90.00°
With the nearest neighbours (Å) after each atom.
Space group P4/mmm (No. 123)
Asymmetric unit:
1 Sr 0.0000 0.0000 0.0000 x1  4 Te 3.37, 8 Zn 3.61
2 Zn 0.0000 0.5000 0.5000 x2  2 Ir 2.38
3 Te 0.5000 0.5000 0.0000 x1  2 Ir 2.71
4 Ir 0.5000 0.5000 0.5000 x1  4 Zn 2.38

Raw formation energy, eV per atom: -0.42


(11)
A plane-wave DFT calculation with SCAN was carried out for Sr2TlIr at its PBEsol-relaxed geometry.

Cell: 3.6129 3.6129 8.2296 Å, 90.00 90.00 90.00°
With the nearest neighbours (Å) after each atom.
Space group P4/mmm (No. 123)
Asymmetric unit:
1 Sr 0.0000 0.0000 0.2097 x2  4 Ir 3.08, 1 Sr 3.45
2 Tl 0.5000 0.5000 0.5000 x1  8 Sr 3.50, 4 Tl 3.61
3 Ir 0.5000 0.5000 0.0000 x1  8 Sr 3.08

DFT total energy, eV/atom: -47.22


(12)
A plane-wave DFT calculation with SCAN was carried out for SrIrW2 at its PBEsol-relaxed geometry.

Cell: 2.7688 4.9721 11.0069 Å, 90.00 90.00 90.00°
With the nearest neighbours (Å) after each atom.
Space group Immm (No. 71)
Asymmetric unit:
1 Sr 0.0000 0.0000 0.0000 x2  2 Sr 2.77, 4 Ir 2.85
2 Ir 0.0000 0.0000 0.5000 x2  4 W 2.67, 2 Ir 2.77, 4 Sr 2.85
3 W 0.0000 0.5000 0.2078 x4  2 Ir 2.67, 6 W 2.77-2.99

Energy above the most stable polymorph in this dataset, eV per atom: 0.081